This record from Alexandria describes a relaxed structure of Tb2DyGaC. The functional is PBE.

Properties
Its crystal system is tetragonal. The calculation puts the formation energy at -431 meV per atom.

a = 4.890 Å, b = 4.890 Å, c = 4.860 Å
α = 90.00°, β = 90.00°, γ = 90.00°
Space group P4/mmm (No. 123)
Inequivalent atoms, fractional coordinates:
Tb 0.000 0.500 0.000 x2
Dy 0.000 0.000 0.500 x1
Ga 0.500 0.500 0.500 x1
C 0.000 0.000 0.000 x1